Entry from Alexandria via LeMat-Bulk: crystalline TbSb2Pd at its relaxed geometry (PBE).

Lattice parameters (Å, degrees): 6.2952 6.3366 19.1025 90.00 90.00 90.00
Space group Fmmm (No. 69)
Inequivalent atoms, fractional coordinates:
Tb1 0.0000 0.0000 0.1271 x8
Sb1 0.0000 0.0000 0.3317 x8
Sb2 0.2500 0.2500 0.0000 x8
Pd1 0.2500 0.2500 0.2500 x8

Summary:
* formation energy (no corrections): -0.783 eV per atom
* calculated total energy: -0.195 Ha/atom
* crystal system: orthorhombic
* polymorph energy (0 for the lowest one): 0.000 eV per formula unit

=====

Entry from Alexandria via LeMat-Bulk: crystalline CrGaCo2N at its relaxed geometry (PBE).

Lattice parameters (Å, degrees): 3.7830 3.7830 3.7782 90.00 90.00 90.00
Space group P4/mmm (No. 123)
Inequivalent atoms, fractional coordinates:
Cr1 0.0000 0.0000 0.0000 x1
Ga1 0.5000 0.5000 0.0000 x1
Co1 0.0000 0.5000 0.5000 x2
N1 0.0000 0.0000 0.5000 x1

Summary:
* formation energy (no corrections): -0.220 eV per atom
* calculated total energy: -0.267 Ha/atom
* crystal system: tetragonal

=====

Entry from Alexandria via LeMat-Bulk: crystalline Sm3ZnCl3 at its relaxed geometry (PBE).

Lattice parameters (Å, degrees): 5.7447 5.7447 5.7447 90.00 90.00 90.00
Space group Pm-3m (No. 221)
Inequivalent atoms, fractional coordinates:
Sm1 0.0000 0.0000 0.5000 x3
Zn1 0.0000 0.0000 0.0000 x1
Cl1 0.0000 0.5000 0.5000 x3

Summary:
* formation energy (no corrections): -1.418 eV per atom
* calculated total energy: -0.162 Ha/atom
* crystal system: cubic

=====

Entry from Alexandria via LeMat-Bulk: crystalline YThRu at its relaxed geometry (PBE).

Lattice parameters (Å, degrees): 13.8043 4.0420 6.0022 90.00 100.52 90.00
Space group C2/m (No. 12)
Inequivalent atoms, fractional coordinates:
Y1 0.0867 0.0000 0.2923 x4
Th1 0.1575 0.5000 0.8131 x4
Ru1 0.2341 0.5000 0.3117 x4

Summary:
* ΔH_f (0 K): -0.327 eV per atom
* calculated total energy: -0.296 Ha/atom
* crystal system: monoclinic
* polymorph energy (0 for the lowest one): 0.000 eV per formula unit

=====

Entry from Alexandria via LeMat-Bulk: crystalline Mn2CuAs at its relaxed geometry (PBE).

Lattice parameters (Å, degrees): 3.6629 3.6629 17.4889 90.00 90.00 90.00
Space group I-42d (No. 122)
Inequivalent atoms, fractional coordinates:
Mn1 0.2392 0.2500 0.1250 x8
Cu1 0.0000 0.0000 0.5000 x4
As1 0.0000 0.0000 0.0000 x4

Summary:
* ΔH_f (0 K): 0.411 eV per atom
* calculated total energy: -0.234 Ha/atom
* crystal system: tetragonal

=====

Entry from Alexandria via LeMat-Bulk: crystalline AlInAg4 at its relaxed geometry (PBE).

Lattice parameters (Å, degrees): 3.1915 3.1915 10.7935 90.00 90.00 90.00
Space group P4/mmm (No. 123)
Inequivalent atoms, fractional coordinates:
Al1 0.0000 0.0000 0.0000 x1
In1 0.5000 0.5000 0.5000 x1
Ag1 0.0000 0.0000 0.3167 x2
Ag2 0.5000 0.5000 0.1442 x2

Summary:
* ΔH_f (0 K): -0.026 eV per atom
* calculated total energy: -0.111 Ha/atom
* crystal system: tetragonal
* polymorph energy (0 for the lowest one): 0.000 eV per formula unit

=====

Q: Which value of calculated total energy does entry 4 give?
A: -0.296 Ha/atom